This record from Alexandria via LeMat-Bulk describes a crystal of KSrPS2 relaxed with PBEsol. The functional is meta-GGA SCAN.

Properties
Crystal system: tetragonal
N(E_F) (states/eV per atom): 0.352
Total magnetic moment (μB/atom): 0.804
Formation energy from raw total energies (eV/atom): -0.23
Volume (A^3/atom): 35.85

Cell: 5.579 5.579 5.760 Å, 90.00 90.00 90.00°
Space group P4/mmm (No. 123)
Unique sites:
K 0.000 0.000 0.000 (multiplicity 1)
Sr 0.500 0.500 0.500 (multiplicity 1)
P 0.500 0.500 0.000 (multiplicity 1)
S 0.000 0.500 0.500 (multiplicity 2)

=====

This record from Alexandria via LeMat-Bulk describes a crystal of KSrP2S relaxed with PBEsol. The functional is meta-GGA SCAN.

Properties
Crystal system: tetragonal
N(E_F) (states/eV per atom): 0.978
Total magnetic moment (μB/atom): 0.455
Polymorph energy (0 for the lowest one) (kJ/mol of formula units): 0.0
Formation energy from raw total energies (eV/atom): 0.26
Volume (A^3/atom): 33.83

Cell: 5.541 5.541 5.511 Å, 90.00 90.00 90.00°
Space group P4/mmm (No. 123)
Unique sites:
K 0.000 0.000 0.000 (multiplicity 1)
Sr 0.500 0.500 0.500 (multiplicity 1)
P 0.000 0.500 0.500 (multiplicity 2)
S 0.500 0.500 0.000 (multiplicity 1)

=====

This record from Alexandria via LeMat-Bulk describes a crystal of KSrP2S relaxed with PBEsol. The functional is meta-GGA SCAN.

Properties
Crystal system: tetragonal
N(E_F) (states/eV per atom): 1.047
Total magnetic moment (μB/atom): 0.000
Polymorph energy (0 for the lowest one) (kJ/mol of formula units): 175.0
Formation energy from raw total energies (eV/atom): 0.62
Volume (A^3/atom): 27.72

Cell: 5.118 5.118 5.292 Å, 90.00 90.00 90.00°
Space group P4/mmm (No. 123)
Unique sites:
K 0.000 0.000 0.000 (multiplicity 1)
Sr 0.500 0.500 0.500 (multiplicity 1)
P 0.000 0.500 0.000 (multiplicity 2)
S 0.000 0.000 0.500 (multiplicity 1)

=====

This record from Alexandria via LeMat-Bulk describes a crystal of KPWS2 relaxed with PBEsol. The functional is meta-GGA SCAN.

Properties
Crystal system: tetragonal
N(E_F) (states/eV per atom): 0.502
Total magnetic moment (μB/atom): 0.000
Formation energy from raw total energies (eV/atom): -0.35
Volume (A^3/atom): 21.14

Cell: 4.736 4.736 4.714 Å, 90.00 90.00 90.00°
Space group P4/mmm (No. 123)
Unique sites:
K 0.000 0.000 0.000 (multiplicity 1)
P 0.500 0.500 0.000 (multiplicity 1)
W 0.500 0.500 0.500 (multiplicity 1)
S 0.000 0.500 0.500 (multiplicity 2)

=====

This record from Alexandria via LeMat-Bulk describes a crystal of KZrPS2 relaxed with PBEsol. The functional is meta-GGA SCAN.

Properties
Crystal system: tetragonal
N(E_F) (states/eV per atom): 0.925
Total magnetic moment (μB/atom): 0.008
Formation energy from raw total energies (eV/atom): 1.19
Volume (A^3/atom): 23.27

Cell: 4.949 4.949 4.751 Å, 90.00 90.00 90.00°
Space group P4/mmm (No. 123)
Unique sites:
K 0.000 0.000 0.000 (multiplicity 1)
Zr 0.500 0.500 0.500 (multiplicity 1)
P 0.000 0.000 0.500 (multiplicity 1)
S 0.000 0.500 0.000 (multiplicity 2)

=====

This record from Alexandria via LeMat-Bulk describes a crystal of KSbP2 relaxed with PBEsol. The functional is meta-GGA SCAN.

Properties
Crystal system: tetragonal
N(E_F) (states/eV per atom): 0.643
Total magnetic moment (μB/atom): 0.000
Formation energy from raw total energies (eV/atom): 0.03
Volume (A^3/atom): 24.57

Cell: 3.867 3.867 6.573 Å, 90.00 90.00 90.00°
Space group P4/mmm (No. 123)
Unique sites:
K 0.000 0.000 0.000 (multiplicity 1)
Sb 0.000 0.000 0.500 (multiplicity 1)
P 0.500 0.500 0.335 (multiplicity 2)

=====

This record from Alexandria via LeMat-Bulk describes a crystal of KSbP2 relaxed with PBEsol. The functional is meta-GGA SCAN.

Properties
Crystal system: tetragonal
N(E_F) (states/eV per atom): 0.533
Total magnetic moment (μB/atom): 0.000
Formation energy from raw total energies (eV/atom): 0.42
Volume (A^3/atom): 21.42

Cell: 4.605 4.605 8.080 Å, 90.00 90.00 90.00°
Space group I4/mmm (No. 139)
Unique sites:
K 0.000 0.000 0.000 (multiplicity 2)
Sb 0.000 0.000 0.500 (multiplicity 2)
P 0.000 0.500 0.250 (multiplicity 4)

=====

This record from Alexandria via LeMat-Bulk describes a crystal of K6SbP relaxed with PBEsol. The functional is meta-GGA SCAN.

Properties
Crystal system: tetragonal
N(E_F) (states/eV per atom): 0.678
Total magnetic moment (μB/atom): 0.000
Formation energy from raw total energies (eV/atom): -0.34
Volume (A^3/atom): 45.04

Cell: 7.937 7.937 11.439 Å, 90.00 90.00 90.00°
Space group P4_2/mcm (No. 132)
Unique sites:
K 0.167 0.167 0.000 (multiplicity 4)
K 0.275 0.275 0.304 (multiplicity 8)
Sb 0.500 0.500 0.000 (multiplicity 2)
P 0.000 0.000 0.250 (multiplicity 2)

=====

This record from Alexandria via LeMat-Bulk describes a crystal of KSbP2 relaxed with PBEsol. The functional is meta-GGA SCAN.

Properties
Crystal system: orthorhombic
N(E_F) (states/eV per atom): 0.534
Total magnetic moment (μB/atom): 0.000
Formation energy from raw total energies (eV/atom): 0.29
Volume (A^3/atom): 25.02

Cell: 3.590 6.056 9.206 Å, 90.00 90.00 90.00°
Space group Immm (No. 71)
Unique sites:
K 0.000 0.000 0.000 (multiplicity 2)
Sb 0.000 0.000 0.500 (multiplicity 2)
P 0.000 0.500 0.200 (multiplicity 4)

=====

This record from Alexandria via LeMat-Bulk describes a crystal of KSc2P relaxed with PBEsol. The functional is meta-GGA SCAN.

Properties
Crystal system: monoclinic
Calculated formation energy (eV/atom): 0.192
N(E_F) (states/eV per atom): 0.842
Total magnetic moment (μB/atom): 0.000
Volume (A^3/atom): 21.98

Cell: 6.375 9.874 3.205 Å, 90.00 119.36 90.00°
Space group C2/m (No. 12)
Unique sites:
K 0.000 0.000 0.000 (multiplicity 2)
Sc 0.250 0.250 0.000 (multiplicity 4)
P 0.000 0.500 0.000 (multiplicity 2)

=====

This record from Alexandria via LeMat-Bulk describes a crystal of KSc2P relaxed with PBEsol. The functional is meta-GGA SCAN.

Properties
Crystal system: trigonal
Calculated formation energy (eV/atom): -0.564
N(E_F) (states/eV per atom): 1.071
Total magnetic moment (μB/atom): 0.085
Volume (A^3/atom): 28.91

Cell: 3.6869 3.6869 29.4701 Å, 90.00 90.00 120.00°
Space group R-3m (No. 166, hexagonal axes)
Unique sites:
K 0.0000 0.0000 0.0000 (multiplicity 3)
Sc 0.0000 0.0000 0.2138 (multiplicity 6)
P 0.0000 0.0000 0.5000 (multiplicity 3)

=====

This record from Alexandria via LeMat-Bulk describes a crystal of KScP2 relaxed with PBEsol. The functional is meta-GGA SCAN.

Properties
Crystal system: orthorhombic
Calculated formation energy (eV/atom): -0.616
N(E_F) (states/eV per atom): 0.326
Total magnetic moment (μB/atom): 0.000
Polymorph energy (0 for the lowest one) (kJ/mol of formula units): 0.0
Volume (A^3/atom): 23.74

Cell: 3.475 3.953 13.824 Å, 90.00 90.00 90.00°
Space group Imm2 (No. 44)
Unique sites:
K 0.000 0.000 0.000 (multiplicity 2)
Sc 0.000 0.500 0.244 (multiplicity 2)
P 0.000 0.000 0.362 (multiplicity 2)
P 0.000 0.500 0.726 (multiplicity 2)